Record 1
DFT (PBE) results for a geometry-optimized PrZn2Pd8 structure.

formation enthalpy at 0 K	-0.036	eV/atom
size of the total moment	0.00	μB/f.u.
uncorrected energy	-49.26	eV/f.u.

a b c (Å): 5.368 5.368 8.010
angles (deg): 90.00 90.00 90.00
Fractional positions:
Pr: 0.500 0.500 0.500
Zn: 0.500 0.000 0.000
Zn: 0.000 0.500 0.000
Pd: 0.753 0.753 0.222
Pd: 0.753 0.247 0.778
Pd: 0.753 0.753 0.778
Pd: 0.753 0.247 0.222
Pd: 0.247 0.753 0.222
Pd: 0.247 0.753 0.778
Pd: 0.247 0.247 0.222
Pd: 0.247 0.247 0.778

---

Record 2
DFT (PBE) results for a geometry-optimized PrZn3Pd9 structure.

formation enthalpy at 0 K	-0.497	eV/atom
size of the total moment	0.00	μB/f.u.
uncorrected energy	-61.80	eV/f.u.

a b c (Å): 5.214 6.726 6.972
angles (deg): 82.58 68.04 69.80
Fractional positions:
Pr: 0.000 0.000 0.000
Zn: 0.500 0.500 0.000
Zn: 0.000 0.000 0.500
Zn: 0.500 0.000 0.500
Pd: 0.714 0.781 0.776
Pd: 0.286 0.219 0.224
Pd: 0.510 0.219 0.776
Pd: 0.490 0.781 0.224
Pd: 0.665 0.341 0.354
Pd: 0.335 0.659 0.646
Pd: 0.981 0.659 0.354
Pd: 0.019 0.341 0.646
Pd: 0.000 0.500 0.000

---

Record 3
DFT (PBE) results for a geometry-optimized Pr3Zn3Pd8 structure.

excess energy over the best structure of this formula in the dataset	45	meV per atom
formation enthalpy at 0 K	-0.635	eV/atom
size of the total moment	0.00	μB/f.u.
uncorrected energy	-68.60	eV/f.u.

a b c (Å): 4.355 8.412 8.412
angles (deg): 68.92 75.00 75.00
Fractional positions:
Pr: 0.500 0.500 0.500
Pr: 0.800 0.200 0.200
Pr: 0.200 0.800 0.800
Zn: 0.500 0.000 0.000
Zn: 0.000 0.768 0.232
Zn: 0.000 0.232 0.768
Pd: 0.611 0.099 0.679
Pd: 0.389 0.901 0.321
Pd: 0.611 0.679 0.099
Pd: 0.389 0.321 0.901
Pd: 0.820 0.826 0.534
Pd: 0.180 0.174 0.466
Pd: 0.820 0.534 0.826
Pd: 0.180 0.466 0.174

---

Record 4
DFT (PBE) results for a geometry-optimized Pr3Zn5Pd6 structure.

formation enthalpy at 0 K	-0.645	eV/atom
size of the total moment	0.00	μB/f.u.
uncorrected energy	-60.89	eV/f.u.

a b c (Å): 4.459 9.153 13.068
angles (deg): 90.00 90.00 90.00
Fractional positions:
Pr: 0.000 0.248 0.700
Pr: 0.500 0.752 0.200
Pr: 0.500 0.752 0.800
Pr: 0.000 0.238 0.000
Pr: 0.500 0.762 0.500
Pr: 0.000 0.248 0.300
Zn: 0.000 0.528 0.877
Zn: 0.000 0.895 0.664
Zn: 0.000 0.755 0.000
Zn: 0.500 0.472 0.623
Zn: 0.500 0.245 0.500
Zn: 0.000 0.528 0.123
Zn: 0.500 0.472 0.377
Zn: 0.000 0.895 0.336
Zn: 0.500 0.105 0.836
Zn: 0.500 0.105 0.164
Pd: 0.000 0.968 0.867
Pd: 0.500 0.032 0.633
Pd: 0.500 0.392 0.822
Pd: 0.500 0.571 0.000
Pd: 0.000 0.429 0.500
Pd: 0.000 0.608 0.678
Pd: 0.000 0.608 0.322
Pd: 0.500 0.931 0.000
Pd: 0.000 0.968 0.133
Pd: 0.500 0.392 0.178
Pd: 0.000 0.069 0.500
Pd: 0.500 0.032 0.367